[1]
# AcAlInPd3

A geometry-optimized AcAlInPd3 structure (PBE-GGA, Alexandria via LeMat-Bulk).

Lattice parameters (Å, degrees): 6.1132 7.1261 7.2387 119.49 90.00 90.00
Last column: nearest neighbours and their distance in Å.
Sites, in units of the cell vectors:
Ac  0.7500  0.2956  0.5911  2 Al 3.26, 8 Pd 3.30-3.57, 1 In 3.37
Ac  0.2500  0.7044  0.4089  2 Al 3.26, 8 Pd 3.30-3.57, 1 In 3.37
Al  0.2500  0.3860  0.7720  5 Pd 2.45-2.52
Al  0.7500  0.6140  0.2280  5 Pd 2.45-2.52
In  0.2500  0.9718  0.9437  5 Pd 2.68-2.77
In  0.7500  0.0282  0.0563  5 Pd 2.68-2.77
Pd  0.2500  0.1917  0.3834  1 Al 2.45
Pd  0.0000  0.3044  0.0000  2 Al 2.52, 2 In 2.68, 1 Pd 2.79
Pd  0.5000  0.6956  0.0000  2 Al 2.52, 2 In 2.68, 1 Pd 2.79
Pd  0.5000  0.3044  0.0000  2 Al 2.52, 2 In 2.68, 1 Pd 2.79
Pd  0.0000  0.6956  0.0000  2 Al 2.52, 2 In 2.68, 1 Pd 2.79
Pd  0.7500  0.8083  0.6166  1 Al 2.45

calculated formation energy	-0.58	eV/atom
total magnetic moment	0.0	Bohr magnetons per cell



[2]
# AcPrAlIn

A geometry-optimized AcPrAlIn structure (PBE-GGA, Alexandria via LeMat-Bulk).

Lattice parameters (Å, degrees): 5.5752 5.5752 5.5752 60.00 60.00 60.00
Last column: nearest neighbours and their distance in Å.
Sites, in units of the cell vectors:
Pr  0.5000  0.5000  0.5000  4 Al 3.41, 4 In 3.41
Ac  0.0000  0.0000  0.0000  4 Al 3.41, 4 In 3.41
Al  0.7500  0.7500  0.7500  4 Ac 3.41, 4 Pr 3.41
In  0.2500  0.2500  0.2500  4 Ac 3.41, 4 Pr 3.41

calculated formation energy	-0.33	eV/atom
total magnetic moment	0.0	Bohr magnetons per cell



[3]
# AcPr2Al2In2

A geometry-optimized AcPr2Al2In2 structure (PBE-GGA, Alexandria via LeMat-Bulk).

Lattice parameters (Å, degrees): 4.7516 4.7516 10.7651 77.25 77.25 60.00
Last column: nearest neighbours and their distance in Å.
Sites, in units of the cell vectors:
Ac  0.0000  0.0000  0.0000  6 Al 3.56, 6 In 3.64
Pr  0.1324  0.1324  0.6027  3 In 3.25, 3 Al 3.32, 3 Pr 3.48
Pr  0.8676  0.8676  0.3973  3 In 3.25, 3 Al 3.32, 3 Pr 3.48
Al  0.5942  0.5942  0.2174  3 In 2.75
Al  0.4058  0.4058  0.7826  3 In 2.75
In  0.7431  0.7431  0.7706  3 Al 2.75
In  0.2569  0.2569  0.2294  3 Al 2.75

calculated formation energy	-0.28	eV/atom
total magnetic moment	0.0	Bohr magnetons per cell



[4]
# AcAlInPt

A geometry-optimized AcAlInPt structure (PBE-GGA, Alexandria via LeMat-Bulk).

Lattice parameters (Å, degrees): 4.3829 4.3829 6.6215 70.67 70.67 60.00
Last column: nearest neighbours and their distance in Å.
Sites, in units of the cell vectors:
Ac  0.8170  0.8170  0.5490  3 Al 3.38, 3 In 3.44, 3 Pt 3.46
Al  0.6060  0.6060  0.1821  3 Pt 2.53
In  0.0236  0.0236  0.9291  3 Pt 2.90, 3 Al 2.97
Pt  0.2793  0.2793  0.1622  3 Al 2.53

calculated formation energy	-0.73	eV/atom
total magnetic moment	0.0	Bohr magnetons per cell